A relaxed structure of NdTmSn2. Source: the Alexandria database, functional PBE. Values from VASP.

Geometry as Quantum ESPRESSO input:
```
&SYSTEM
  ibrav = 0, nat = 8, ntyp = 3
/
ATOMIC_SPECIES
Tm 168.93 Tm.upf
Nd 144.24 Nd.upf
Sn 118.71 Sn.upf
ATOMIC_POSITIONS angstrom
Tm 2.162 2.326 2.691
Tm 2.162 3.879 6.932
Nd 0.000 0.797 5.789
Nd 0.000 5.407 1.549
Sn 0.000 2.508 0.366
Sn 2.162 0.566 8.114
Sn 0.000 3.697 4.607
Sn 2.162 5.639 3.874
CELL_PARAMETERS angstrom
4.325 0.000 0.000
0.000 6.205 0.000
0.000 0.000 8.481
```

## Properties
The energy of formation from the pure elements comes out at -2.8 eV per formula unit.